The following is a PBE-GGA calculation of an optimized crystal structure of Ni11Pt3, from the Alexandria database.

a = 3.8934 Å, b = 6.9395 Å, c = 6.9395 Å
α = 82.57°, β = 73.71°, γ = 73.71°
Closest atoms and distances in Å follow each position.
Sites, in units of the cell vectors:
Ni: 0.0000 0.5000 0.5000  8 Ni 2.40-2.46
Ni: 0.5000 0.3473 0.6527  8 Ni 2.38-2.47, 2 Pt 2.54
Ni: 0.5000 0.6527 0.3473  8 Ni 2.38-2.47, 2 Pt 2.54
Ni: 0.6303 0.9968 0.7427  6 Ni 2.33-2.52, 2 Pt 2.59
Ni: 0.3697 0.0032 0.2573  6 Ni 2.33-2.52, 2 Pt 2.59
Ni: 0.6303 0.7427 0.9968  6 Ni 2.33-2.52, 2 Pt 2.59
Ni: 0.3697 0.2573 0.0032  6 Ni 2.33-2.52, 2 Pt 2.59
Ni: 0.8562 0.8654 0.4221  6 Ni 2.35-2.47
Ni: 0.1438 0.1346 0.5779  6 Ni 2.35-2.47
Ni: 0.8562 0.4221 0.8654  6 Ni 2.35-2.47
Ni: 0.1438 0.5779 0.1346  6 Ni 2.35-2.47
Pt: 0.0000 0.0000 0.0000  12 Ni 2.59-2.90, 2 Pt 2.71
Pt: 0.7194 0.2806 0.2806  6 Ni 2.54-2.69, 1 Pt 2.71
Pt: 0.2806 0.7194 0.7194  6 Ni 2.54-2.69, 1 Pt 2.71

Properties
As for the density of states at the Fermi level: 24.876 states/eV/cell. As for the total energy: -5.730 eV/atom. For the magnetic moment, the calculation gives 8.45 μB/cell. Its energy of formation from the pure elements is 0.107 eV per atom.